# NdTm2Mg GGA-PBE relaxed
# energy relative to the lowest polymorph listed for this composition = 134 meV per atom
# size of the total moment = 0.558 μB/f.u.
# DFT total energy = -59.49 eV per cell
data_NdTm2Mg
_chemical_formula_sum 'Nd4 Tm8 Mg4'
_symmetry_space_group_name_H-M 'F m -3 m'
_symmetry_Int_Tables_number 225
_symmetry_space_group_name_Hall '-F 4 2 3'
_cell_length_a 7.792
_cell_length_b 7.792
_cell_length_c 7.792
_cell_angle_alpha 90.00
_cell_angle_beta 90.00
_cell_angle_gamma 90.00
loop_
_atom_site_label
_atom_site_type_symbol
_atom_site_fract_x
_atom_site_fract_y
_atom_site_fract_z
Nd1 Nd 0.000 0.000 0.000
Tm1 Tm 0.250 0.250 0.250
Mg1 Mg 0.000 0.000 0.500

---

# Nd6Tm8Mg GGA-PBE relaxed
# size of the total moment = 0.000 μB/f.u.
# DFT total energy = -62.21 eV per cell
data_Nd6Tm8Mg
_chemical_formula_sum 'Nd6 Tm8 Mg1'
_symmetry_space_group_name_H-M 'P -3'
_symmetry_Int_Tables_number 147
_cell_length_a 9.3648
_cell_length_b 9.3648
_cell_length_c 6.6147
_cell_angle_alpha 90.00
_cell_angle_beta 90.00
_cell_angle_gamma 120.00
loop_
_symmetry_equiv_pos_as_xyz
'x,y,z'
'-x,-y,-z'
'-y,x-y,z'
'y,-x+y,-z'
'-x+y,-x,z'
'x-y,x,-z'
loop_
_atom_site_label
_atom_site_type_symbol
_atom_site_fract_x
_atom_site_fract_y
_atom_site_fract_z
Nd1 Nd 0.0741 0.6757 0.3906
Tm1 Tm 0.0133 0.3240 0.1104
Tm2 Tm 0.3333 0.6667 0.8394
Mg1 Mg 0.0000 0.0000 0.5000

---

# Nd5Tm8Mg GGA-PBE relaxed
# size of the total moment = 0.000 μB/f.u.
# DFT total energy = -116.14 eV per cell
data_Nd5Tm8Mg
_chemical_formula_sum 'Nd10 Tm16 Mg2'
_symmetry_space_group_name_H-M 'I -4'
_symmetry_Int_Tables_number 82
_cell_length_a 9.571
_cell_length_b 9.571
_cell_length_c 9.932
_cell_angle_alpha 90.00
_cell_angle_beta 90.00
_cell_angle_gamma 90.00
loop_
_symmetry_equiv_pos_as_xyz
'x,y,z'
'y,-x,-z'
'-x,-y,z'
'-y,x,-z'
'x+1/2,y+1/2,z+1/2'
'y+1/2,-x+1/2,-z+1/2'
'-x+1/2,-y+1/2,z+1/2'
'-y+1/2,x+1/2,-z+1/2'
loop_
_atom_site_label
_atom_site_type_symbol
_atom_site_fract_x
_atom_site_fract_y
_atom_site_fract_z
Nd1 Nd 0.000 0.000 0.000
Nd2 Nd 0.104 0.213 0.581
Tm1 Tm 0.070 0.327 0.907
Tm2 Tm 0.088 0.183 0.245
Mg1 Mg 0.000 0.500 0.250

---

# NdTm2Mg GGA-PBE relaxed
# energy relative to the lowest polymorph listed for this composition = 0 meV per atom
# size of the total moment = 0.000 μB/f.u.
# DFT total energy = -61.63 eV per cell
data_NdTm2Mg
_chemical_formula_sum 'Nd4 Tm8 Mg4'
_symmetry_space_group_name_H-M 'I 4/m m m'
_symmetry_Int_Tables_number 139
_symmetry_space_group_name_Hall '-I 4 2'
_cell_length_a 5.086
_cell_length_b 5.086
_cell_length_c 18.409
_cell_angle_alpha 90.00
_cell_angle_beta 90.00
_cell_angle_gamma 90.00
loop_
_atom_site_label
_atom_site_type_symbol
_atom_site_fract_x
_atom_site_fract_y
_atom_site_fract_z
Nd1 Nd 0.000 0.000 0.128
Tm1 Tm 0.000 0.000 0.367
Tm2 Tm 0.000 0.500 0.000
Mg1 Mg 0.000 0.500 0.250

---

# Nd5TmMg5 GGA-PBE relaxed
# size of the total moment = 0.001 μB/f.u.
# DFT total energy = -69.54 eV per cell
data_Nd5TmMg5
_chemical_formula_sum 'Nd10 Tm2 Mg10'
_symmetry_space_group_name_H-M 'C 1 2/m 1'
_symmetry_Int_Tables_number 12
_cell_length_a 18.234
_cell_length_b 5.892
_cell_length_c 6.777
_cell_angle_alpha 90.00
_cell_angle_beta 111.73
_cell_angle_gamma 90.00
loop_
_symmetry_equiv_pos_as_xyz
'x,y,z'
'-x,-y,-z'
'-x,y,-z'
'x,-y,z'
'x+1/2,y+1/2,z'
'-x+1/2,-y+1/2,-z'
'-x+1/2,y+1/2,-z'
'x+1/2,-y+1/2,z'
loop_
_atom_site_label
_atom_site_type_symbol
_atom_site_fract_x
_atom_site_fract_y
_atom_site_fract_z
Nd1 Nd 0.000 0.000 0.000
Nd2 Nd 0.133 0.500 0.134
Nd3 Nd 0.185 0.500 0.686
Tm1 Tm 0.000 0.000 0.500
Mg1 Mg 0.000 0.500 0.500
Mg2 Mg 0.167 0.000 0.435
Mg3 Mg 0.167 0.000 0.899

---

# NdTm7Mg2 GGA-PBE relaxed
# size of the total moment = 0.525 μB/f.u.
# DFT total energy = -66.43 eV per cell
data_NdTm7Mg2
_chemical_formula_sum 'Nd2 Tm14 Mg4'
_symmetry_space_group_name_H-M 'C m m m'
_symmetry_Int_Tables_number 65
_symmetry_space_group_name_Hall '-C 2 2'
_cell_length_a 8.728
_cell_length_b 16.091
_cell_length_c 5.270
_cell_angle_alpha 90.00
_cell_angle_beta 90.00
_cell_angle_gamma 90.00
loop_
_atom_site_label
_atom_site_type_symbol
_atom_site_fract_x
_atom_site_fract_y
_atom_site_fract_z
Nd1 Nd 0.000 0.000 0.000
Tm1 Tm 0.000 0.212 0.000
Tm2 Tm 0.000 0.500 0.500
Tm3 Tm 0.181 0.114 0.500
Mg1 Mg 0.000 0.299 0.500

---

# Nd7Tm4Mg GGA-PBE relaxed
# size of the total moment = 0.000 μB/f.u.
# DFT total energy = -100.89 eV per cell
data_Nd7Tm4Mg
_chemical_formula_sum 'Nd14 Tm8 Mg2'
_symmetry_space_group_name_H-M 'C 1 2/m 1'
_symmetry_Int_Tables_number 12
_cell_length_a 11.267
_cell_length_b 5.581
_cell_length_c 13.135
_cell_angle_alpha 90.00
_cell_angle_beta 105.29
_cell_angle_gamma 90.00
loop_
_symmetry_equiv_pos_as_xyz
'x,y,z'
'-x,-y,-z'
'-x,y,-z'
'x,-y,z'
'x+1/2,y+1/2,z'
'-x+1/2,-y+1/2,-z'
'-x+1/2,y+1/2,-z'
'x+1/2,-y+1/2,z'
loop_
_atom_site_label
_atom_site_type_symbol
_atom_site_fract_x
_atom_site_fract_y
_atom_site_fract_z
Nd1 Nd 0.000 0.000 0.000
Nd2 Nd 0.138 0.000 0.468
Nd3 Nd 0.157 0.500 0.257
Nd4 Nd 0.227 0.500 0.895
Tm1 Tm 0.049 0.000 0.777
Tm2 Tm 0.091 0.500 0.627
Mg1 Mg 0.000 0.500 0.000

---

# NdTm8Mg2 GGA-PBE relaxed
# size of the total moment = 0.000 μB/f.u.
# DFT total energy = -83.80 eV per cell
data_NdTm8Mg2
_chemical_formula_sum 'Nd2 Tm16 Mg4'
_symmetry_space_group_name_H-M 'C 1 2/m 1'
_symmetry_Int_Tables_number 12
_cell_length_a 16.707
_cell_length_b 6.557
_cell_length_c 6.328
_cell_angle_alpha 90.00
_cell_angle_beta 102.82
_cell_angle_gamma 90.00
loop_
_symmetry_equiv_pos_as_xyz
'x,y,z'
'-x,-y,-z'
'-x,y,-z'
'x,-y,z'
'x+1/2,y+1/2,z'
'-x+1/2,-y+1/2,-z'
'-x+1/2,y+1/2,-z'
'x+1/2,-y+1/2,z'
loop_
_atom_site_label
_atom_site_type_symbol
_atom_site_fract_x
_atom_site_fract_y
_atom_site_fract_z
Nd1 Nd 0.000 0.000 0.000
Tm1 Tm 0.080 0.500 0.908
Tm2 Tm 0.097 0.256 0.453
Tm3 Tm 0.226 0.000 0.179
Mg1 Mg 0.246 0.500 0.305

---

# NdTmMg GGA-PBE relaxed
# energy relative to the lowest polymorph listed for this composition = 7 meV per atom
# size of the total moment = 0.262 μB/f.u.
# DFT total energy = -21.89 eV per cell
data_NdTmMg
_chemical_formula_sum 'Nd2 Tm2 Mg2'
_symmetry_space_group_name_H-M 'I 4 m m'
_symmetry_Int_Tables_number 107
_symmetry_space_group_name_Hall 'I 4 -2'
_cell_length_a 3.704
_cell_length_b 3.704
_cell_length_c 12.962
_cell_angle_alpha 90.00
_cell_angle_beta 90.00
_cell_angle_gamma 90.00
loop_
_atom_site_label
_atom_site_type_symbol
_atom_site_fract_x
_atom_site_fract_y
_atom_site_fract_z
Nd1 Nd 0.000 0.000 0.000
Tm1 Tm 0.000 0.000 0.318
Mg1 Mg 0.000 0.000 0.666

---

# Nd2TmMg6 GGA-PBE relaxed
# size of the total moment = 0.000 μB/f.u.
# DFT total energy = -24.34 eV per cell
data_Nd2TmMg6
_chemical_formula_sum 'Nd2 Tm1 Mg6'
_symmetry_space_group_name_H-M 'P 6/m m m'
_symmetry_Int_Tables_number 191
_symmetry_space_group_name_Hall '-P 6 2'
_cell_length_a 9.1564
_cell_length_b 9.1564
_cell_length_c 3.3191
_cell_angle_alpha 90.00
_cell_angle_beta 90.00
_cell_angle_gamma 120.00
loop_
_atom_site_label
_atom_site_type_symbol
_atom_site_fract_x
_atom_site_fract_y
_atom_site_fract_z
Nd1 Nd 0.3333 0.6667 0.0000
Tm1 Tm 0.0000 0.0000 0.0000
Mg1 Mg 0.0000 0.3287 0.5000

---

# NdTm4Mg GGA-PBE relaxed
# energy relative to the lowest polymorph listed for this composition = 18 meV per atom
# size of the total moment = 0.000 μB/f.u.
# DFT total energy = -48.30 eV per cell
data_NdTm4Mg
_chemical_formula_sum 'Nd2 Tm8 Mg2'
_symmetry_space_group_name_H-M 'C 1 m 1'
_symmetry_Int_Tables_number 8
_cell_length_a 11.786
_cell_length_b 5.374
_cell_length_c 6.764
_cell_angle_alpha 90.00
_cell_angle_beta 123.12
_cell_angle_gamma 90.00
loop_
_symmetry_equiv_pos_as_xyz
'x,y,z'
'x,-y,z'
'x+1/2,y+1/2,z'
'x+1/2,-y+1/2,z'
loop_
_atom_site_label
_atom_site_type_symbol
_atom_site_fract_x
_atom_site_fract_y
_atom_site_fract_z
Nd1 Nd 0.000 0.000 0.000
Tm1 Tm 0.150 0.500 0.796
Tm2 Tm 0.192 0.500 0.331
Tm3 Tm 0.308 0.000 0.668
Tm4 Tm 0.350 0.000 0.203
Mg1 Mg 0.000 0.000 0.500

---

# Nd2Tm2Mg3 GGA-PBE relaxed
# size of the total moment = 0.002 μB/f.u.
# DFT total energy = -46.13 eV per cell
data_Nd2Tm2Mg3
_chemical_formula_sum 'Nd4 Tm4 Mg6'
_symmetry_space_group_name_H-M 'C 1 2/m 1'
_symmetry_Int_Tables_number 12
_cell_length_a 13.607
_cell_length_b 3.545
_cell_length_c 9.419
_cell_angle_alpha 90.00
_cell_angle_beta 115.18
_cell_angle_gamma 90.00
loop_
_symmetry_equiv_pos_as_xyz
'x,y,z'
'-x,-y,-z'
'-x,y,-z'
'x,-y,z'
'x+1/2,y+1/2,z'
'-x+1/2,-y+1/2,-z'
'-x+1/2,y+1/2,-z'
'x+1/2,-y+1/2,z'
loop_
_atom_site_label
_atom_site_type_symbol
_atom_site_fract_x
_atom_site_fract_y
_atom_site_fract_z
Nd1 Nd 0.127 0.000 0.310
Tm1 Tm 0.114 0.500 0.962
Mg1 Mg 0.000 0.500 0.500
Mg2 Mg 0.170 0.000 0.715